[1]
YSi2Ag | GGA-PBEsol | optimized geometry

a = 3.1400 Å, b = 4.4963 Å, c = 5.1976 Å
α = 90.00°, β = 90.00°, γ = 90.00°
Fractional coordinates of all 4 atoms:
1 Ag 0.0000 0.5000 0.2454
2 Si 0.0000 0.0000 0.9956
3 Si 0.0000 0.5000 0.7471
4 Y 0.5000 0.0000 0.5118

Summary:
The calculated total energy is -5.645 eV/atom.

***

[2]
KHf3Cl | GGA-PBEsol | optimized geometry

a = 4.8772 Å, b = 4.8772 Å, c = 4.8772 Å
α = 90.00°, β = 90.00°, γ = 90.00°
Fractional coordinates of all 5 atoms:
1 K 0.5000 0.5000 0.5000
2 Hf 0.0000 0.5000 0.0000
3 Hf 0.0000 0.0000 0.5000
4 Hf 0.5000 0.0000 0.0000
5 Cl 0.0000 0.0000 0.0000

Summary:
The calculated total energy is -6.362 eV/atom.

***

Calculated formation energy (no corrections) (eV/atom), listed in the same order as above: -0.239, 0.569